(1)
Pm3GaOs: relaxed, PBE.

- energy relative to the elements (meV/atom) = -236.6

```
data_Pm3GaOs
_chemical_formula_sum 'Pm12 Ga4 Os4'
_cell_length_a 11.210
_cell_length_b 6.043
_cell_length_c 8.187
_cell_angle_alpha 90.00
_cell_angle_beta 103.60
_cell_angle_gamma 90.00
_space_group_name_H-M_alt 'P 1'
_space_group_IT_number 1
loop_
_space_group_symop_operation_xyz
'x,y,z'
loop_
_atom_site_label
_atom_site_fract_x
_atom_site_fract_y
_atom_site_fract_z
Pm1 0.096 0.113 0.348
Pm2 0.096 0.387 0.848
Pm3 0.238 0.628 0.246
Pm4 0.238 0.872 0.746
Pm5 0.388 0.114 0.143
Pm6 0.388 0.386 0.643
Pm7 0.612 0.614 0.357
Pm8 0.612 0.886 0.857
Pm9 0.762 0.128 0.254
Pm10 0.762 0.372 0.754
Pm11 0.904 0.613 0.152
Pm12 0.904 0.887 0.652
Ga1 0.413 0.622 0.014
Ga2 0.413 0.878 0.514
Ga3 0.587 0.122 0.486
Ga4 0.587 0.378 0.986
Os1 0.109 0.541 0.517
Os2 0.109 0.959 0.017
Os3 0.891 0.041 0.983
Os4 0.891 0.459 0.483
```

***

(2)
NaZn2Ga: relaxed, PBE.

- energy relative to the elements (meV/atom) = 72.9

```
data_NaZn2Ga
_chemical_formula_sum 'Na1 Zn2 Ga1'
_cell_length_a 4.174
_cell_length_b 4.174
_cell_length_c 4.265
_cell_angle_alpha 90.00
_cell_angle_beta 90.00
_cell_angle_gamma 90.00
_space_group_name_H-M_alt 'P 1'
_space_group_IT_number 1
loop_
_space_group_symop_operation_xyz
'x,y,z'
loop_
_atom_site_label
_atom_site_fract_x
_atom_site_fract_y
_atom_site_fract_z
Na1 0.000 0.000 0.000
Zn1 0.000 0.500 0.500
Zn2 0.500 0.000 0.500
Ga1 0.500 0.500 0.000
```

***

(3)
LaSm2Sb3: relaxed, PBE.

- energy relative to the elements, uncorrected (meV per atom) = -1206

```
data_LaSm2Sb3
_chemical_formula_sum 'La1 Sm2 Sb3'
_cell_length_a 7.832
_cell_length_b 7.832
_cell_length_c 7.832
_cell_angle_alpha 146.40
_cell_angle_beta 131.78
_cell_angle_gamma 60.06
_space_group_name_H-M_alt 'P 1'
_space_group_IT_number 1
loop_
_space_group_symop_operation_xyz
'x,y,z'
loop_
_atom_site_label
_atom_site_fract_x
_atom_site_fract_y
_atom_site_fract_z
La1 0.000 0.000 0.000
Sm1 0.334 0.334 0.000
Sm2 0.666 0.666 0.000
Sb1 0.171 0.671 0.500
Sb2 0.500 0.000 0.500
Sb3 0.829 0.329 0.500
```

***

(4)
Ca2AgN: relaxed, PBE.

- energy relative to the elements, uncorrected (meV per atom) = -518

```
data_Ca2AgN
_chemical_formula_sum 'Ca8 Ag4 N4'
_cell_length_a 6.874
_cell_length_b 4.705
_cell_length_c 10.917
_cell_angle_alpha 90.00
_cell_angle_beta 90.00
_cell_angle_gamma 90.00
_space_group_name_H-M_alt 'P 1'
_space_group_IT_number 1
loop_
_space_group_symop_operation_xyz
'x,y,z'
loop_
_atom_site_label
_atom_site_fract_x
_atom_site_fract_y
_atom_site_fract_z
Ca1 0.108 0.250 0.224
Ca2 0.121 0.250 0.562
Ca3 0.379 0.750 0.062
Ca4 0.392 0.750 0.724
Ca5 0.608 0.250 0.276
Ca6 0.621 0.250 0.938
Ca7 0.879 0.750 0.438
Ca8 0.892 0.750 0.776
Ag1 0.111 0.250 0.939
Ag2 0.389 0.750 0.439
Ag3 0.611 0.250 0.561
Ag4 0.889 0.750 0.061
N1 0.097 0.750 0.610
N2 0.403 0.250 0.110
N3 0.597 0.750 0.890
N4 0.903 0.250 0.390
```

***

In the order shown, the computed total magnetic moment values come out to 0.000, 0.000, 0.000, 0.000 μB per atom.